Record 1
Here is an optimized crystal structure of BeAg3Os from the Alexandria database. Energies are from GGA-PBE.

a b c (Å): 4.3185 4.3185 4.3185
angles (deg): 90.00 90.00 90.00
Fractional coordinates of all 5 atoms:
Be  0.0000  0.0000  0.0000
Ag  0.0000  0.0000  0.5000
Ag  0.0000  0.5000  0.0000
Ag  0.5000  0.0000  0.0000
Os  0.5000  0.5000  0.5000

Its total magnetization is 0.235 μB/atom. For the formation energy, the calculation gives 1080 meV/atom. The space group is Pm-3m (221).

Record 2
Here is an optimized crystal structure of Be2AgOs from the Alexandria database. Energies are from GGA-PBE.

a b c (Å): 3.9804 3.9804 2.9479
angles (deg): 90.00 90.00 90.00
Fractional coordinates of all 4 atoms:
Be  0.0000  0.5000  0.0000
Be  0.5000  0.0000  0.0000
Ag  0.0000  0.0000  0.5000
Os  0.5000  0.5000  0.5000

Its total magnetization is 0.000 μB/atom. For the formation energy, the calculation gives 29 meV/atom. The space group is P4/mmm (123).

Record 3
Here is an optimized crystal structure of Be3AgOs from the Alexandria database. Energies are from GGA-PBE.

a b c (Å): 4.2167 4.2167 4.2167
angles (deg): 90.00 90.00 90.00
Fractional coordinates of all 5 atoms:
Be  0.0000  0.0000  0.5000
Be  0.0000  0.5000  0.0000
Be  0.5000  0.0000  0.0000
Ag  0.5000  0.5000  0.5000
Os  0.0000  0.0000  0.0000

Its total magnetization is 0.000 μB/atom. For the formation energy, the calculation gives 707 meV/atom. The space group is Pm-3m (221).

Record 4
Here is an optimized crystal structure of BeAg2Os from the Alexandria database. Energies are from GGA-PBE.

a b c (Å): 5.3464 5.3464 5.3464
angles (deg): 150.80 127.35 61.34
Fractional coordinates of all 4 atoms:
Be  0.0000  0.0000  0.0000
Ag  0.2247  0.7247  0.5000
Ag  0.5092  0.5092  0.0000
Os  0.7946  0.2946  0.5000

Its total magnetization is 0.000 μB/atom. For the formation energy, the calculation gives 482 meV/atom. The space group is Imm2 (44).